[1]
Below is crystalline Ac2GaGeIr at its relaxed geometry, with properties calculated at the GGA-PBE level.

abc: 4.4929 4.4929 14.4087
angles: 90.00 90.00 90.00
Element x y z (fractional)
Ac (0.0000, 0.5000, 0.1106)
Ac (0.0000, 0.5000, 0.6631)
Ac (0.5000, 0.0000, 0.3369)
Ac (0.5000, 0.0000, 0.8894)
Ge (0.5000, 0.0000, 0.1170)
Ge (0.0000, 0.5000, 0.8830)
Ga (0.0000, 0.5000, 0.4112)
Ga (0.5000, 0.0000, 0.5888)
Ir (0.5000, 0.5000, 0.5000)
Ir (0.0000, 0.0000, 0.5000)

Size of the total moment: 0.00 μB per formula unit
DFT formation energy: -0.613 eV/atom
ρ: 9.0 g/cm³


[2]
Below is crystalline ScIr2Rh at its relaxed geometry, with properties calculated at the GGA-PBE level.

abc: 3.8110 3.8110 9.6673
angles: 78.63 78.63 90.00
Element x y z (fractional)
Ir (0.1068, 0.6250, 0.2500)
Ir (0.6432, 0.1250, 0.2500)
Ir (0.8750, 0.8932, 0.7500)
Ir (0.3750, 0.3568, 0.7500)
Rh (0.7500, 0.2500, 0.5000)
Rh (0.0000, 0.0000, 0.0000)
Sc (0.2500, 0.7500, 0.5000)
Sc (0.5000, 0.5000, 0.0000)

Size of the total moment: 0.00 μB per formula unit
DFT formation energy: -0.106 eV/atom
ρ: 13.1 g/cm³


[3]
Below is crystalline KSrCa2Ge at its relaxed geometry, with properties calculated at the GGA-PBE level.

abc: 5.9491 5.9491 6.2786
angles: 90.00 90.00 90.00
Element x y z (fractional)
Ca (0.0000, 0.5000, 0.0000)
Ca (0.5000, 0.0000, 0.0000)
Ge (0.0000, 0.0000, 0.0000)
Sr (0.0000, 0.0000, 0.5000)
K (0.5000, 0.5000, 0.5000)

Size of the total moment: 0.29 μB per formula unit
DFT formation energy: -0.187 eV/atom
ρ: 2.1 g/cm³